AcYSi2Pt2 | Alexandria via LeMat-Bulk | PBE-GGA | optimized geometry; symmetry = P-3m1, No. 164; total energy = -40.2 eV/cell
1.0
-2.0919 0.1954 -3.6501
1.4916 -3.6900 1.3773
-7.3822 -1.4335 4.1541
Pt Si Y Ac
2 2 1 1
direct
0.3333 0.6667 0.7270
0.6667 0.3333 0.2730
0.3333 0.6667 0.2687
0.6667 0.3333 0.7313
0.0000 0.0000 0.5000
0.0000 0.0000 0.0000